1.
The following is a DFT calculation (PBE) of an optimized crystal structure of NaAl2Au3.

a = 5.511 Å, b = 6.928 Å, c = 6.928 Å
α = 105.75°, β = 90.00°, γ = 90.00°
Atoms (fractional coordinates):
Na 0.250 0.324 0.324
Na 0.750 0.676 0.676
Al 0.500 0.800 0.200
Al 0.000 0.800 0.200
Al 0.000 0.200 0.800
Al 0.500 0.200 0.800
Au 0.750 0.481 0.092
Au 0.750 0.092 0.481
Au 0.250 0.519 0.908
Au 0.750 0.067 0.067
Au 0.250 0.933 0.933
Au 0.250 0.908 0.519

Computed properties:
ΔE_f: -0.409 eV per atom
M_tot: 0.00 μB per formula unit


2.
The following is a DFT calculation (PBE) of an optimized crystal structure of Ca4Si3BiPd12.

a = 8.215 Å, b = 8.215 Å, c = 8.215 Å
α = 109.47°, β = 109.47°, γ = 109.47°
Atoms (fractional coordinates):
Ca 0.500 0.500 0.500
Ca 0.000 0.000 0.500
Ca 0.500 0.000 0.000
Ca 0.000 0.500 0.000
Si 0.500 0.000 0.500
Si 0.500 0.500 0.000
Si 0.000 0.500 0.500
Bi 0.000 0.000 0.000
Pd 0.250 0.500 0.750
Pd 0.731 0.000 0.731
Pd 0.269 0.000 0.269
Pd 0.750 0.500 0.250
Pd 0.731 0.731 0.000
Pd 0.269 0.269 0.000
Pd 0.750 0.250 0.500
Pd 0.250 0.750 0.500
Pd 0.500 0.250 0.750
Pd 0.000 0.731 0.731
Pd 0.500 0.750 0.250
Pd 0.000 0.269 0.269

Computed properties:
M_tot: 0.00 μB per formula unit
E: -4.967 eV/atom


3.
The following is a DFT calculation (PBE) of an optimized crystal structure of LiNbTcW2.

a = 4.697 Å, b = 4.264 Å, c = 4.697 Å
α = 90.00°, β = 90.00°, γ = 90.00°
Atoms (fractional coordinates):
Nb 0.000 0.000 0.000
Tc 0.500 0.500 0.500
W 0.000 0.000 0.500
W 0.500 0.000 0.000
Li 0.000 0.500 0.000

Computed properties:
ΔE_f: 2.145 eV per atom
M_tot: 0.00 μB per formula unit


4.
The following is a DFT calculation (PBE) of an optimized crystal structure of Pm2AlZnRu2.

a = 5.774 Å, b = 5.807 Å, c = 8.326 Å
α = 110.41°, β = 110.29°, γ = 90.00°
Atoms (fractional coordinates):
Pm 0.406 0.168 0.336
Pm 0.594 0.832 0.664
Pm 0.070 0.332 0.664
Pm 0.930 0.668 0.336
Al 0.500 0.750 0.000
Al 0.500 0.250 0.000
Zn 0.000 0.750 0.000
Zn 0.000 0.250 0.000
Ru 0.842 0.113 0.226
Ru 0.384 0.613 0.226
Ru 0.616 0.387 0.774
Ru 0.158 0.887 0.774

Computed properties:
ΔE_f: -0.359 eV per atom
M_tot: 0.00 μB per formula unit